! BeCoMo2 meta-GGA SCAN PBEsol geometry; values from VASP
! E_form: 0.4 eV/f.u.
! total moment: 0.00 μB per atom
! symmetry: P4/mmm (123)
&SYSTEM
  ibrav = 0, nat = 4, ntyp = 3
/
ATOMIC_SPECIES
Be 9.01 Be.upf
Mo 95.94 Mo.upf
Co 58.93 Co.upf
ATOMIC_POSITIONS crystal
Be 0.500 0.500 0.000
Mo 0.000 0.000 0.758
Mo 0.000 0.000 0.242
Co 0.500 0.500 0.500
CELL_PARAMETERS angstrom
-1.406 2.204 -0.252
-1.345 -0.609 2.172
4.720 3.457 3.894